1.
# HfAgIO2

Crystalline HfAgIO2 at its relaxed geometry (PBE-GGA, Alexandria).

- polymorph energy (0 for the lowest one) (eV per atom) = 0.000
- formation energy without anion corrections (meV/atom) = -1588
- DOS(E_F) (states/eV per cell) = 1.1
- calculated density (g/cm3) = 7.24

Unit cell a=4.0717 b=4.0717 c=6.1633 alpha=90.00 beta=90.00 gamma=90.00
Closest atoms and distances in Å follow each position.
Space group P4/mmm (No. 123)
One atom of each set of equivalent atoms:
1 Hf 0.0000 0.0000 0.0000  4 O 2.04
2 Ag 0.5000 0.5000 0.5000  4 I 2.88
3 I 0.0000 0.0000 0.5000  4 Ag 2.88, 2 Hf 3.08
4 O 0.0000 0.5000 0.0000  2 Hf 2.04

=====

2.
# Th7Tl3Cd2

Crystalline Th7Tl3Cd2 at its relaxed geometry (PBE-GGA, Alexandria).

- DOS(E_F) (states/eV per cell) = 23.7
- formation enthalpy at 0 K (eV/atom) = 0.18
- calculated density (g/cm3) = 10.44

Unit cell a=5.6820 b=24.1094 c=5.7188 alpha=90.00 beta=90.00 gamma=90.00
Closest atoms and distances in Å follow each position.
Space group Cmmm (No. 65)
One atom of each set of equivalent atoms:
1 Th 0.0000 0.0000 0.0000  8 Th 3.39-3.46, 2 Cd 3.62
2 Th 0.0000 0.0805 0.5000  2 Cd 3.31, 4 Tl 3.37-3.44, 2 Th 3.46
3 Th 0.0000 0.2861 0.0000  2 Tl 3.18, 3 Cd 3.23-3.28, 3 Th 3.31-3.33
4 Th 0.0000 0.4234 0.0000  4 Th 3.31-3.69, 2 Cd 3.35, 4 Tl 3.40-3.44
5 Tl 0.0000 0.3440 0.5000  6 Th 3.18-3.44
6 Tl 0.0000 0.5000 0.5000  8 Th 3.40-3.44, 2 Tl 3.76
7 Cd 0.0000 0.1500 0.0000  8 Th 3.23-3.62

=====

3.
# MgSiI2N

Crystalline MgSiI2N at its relaxed geometry (PBE-GGA, Alexandria).

- polymorph energy (0 for the lowest one) (eV per atom) = 0.526
- formation energy without anion corrections (meV/atom) = 656
- DOS(E_F) (states/eV per cell) = 2.5
- calculated density (g/cm3) = 3.99

Unit cell a=5.7683 b=5.7683 c=4.0077 alpha=90.00 beta=90.00 gamma=90.00
Closest atoms and distances in Å follow each position.
Space group P4/mmm (No. 123)
One atom of each set of equivalent atoms:
1 Mg 0.0000 0.0000 0.0000  2 N 2.00
2 Si 0.5000 0.5000 0.5000  8 I 3.51
3 I 0.0000 0.5000 0.0000  2 Mg 2.88
4 N 0.0000 0.0000 0.5000  2 Mg 2.00

=====

4.
# ReRh

Crystalline ReRh at its relaxed geometry (PBE-GGA, Alexandria).

- polymorph energy (0 for the lowest one) (eV per atom) = 0.155
- DOS(E_F) (states/eV per cell) = 7.5
- formation enthalpy at 0 K (eV/atom) = -0.02
- calculated density (g/cm3) = 16.52

Unit cell a=2.7291 b=2.7291 c=13.5157 alpha=90.00 beta=90.00 gamma=120.00
Closest atoms and distances in Å follow each position.
Space group R-3m (No. 166, hexagonal axes)
One atom of each set of equivalent atoms:
1 Re 0.0000 0.0000 0.0000  6 Re 2.73, 6 Rh 2.75
2 Rh 0.0000 0.0000 0.5000  6 Rh 2.73, 6 Re 2.75

=====

5.
# SmTcGe2

Crystalline SmTcGe2 at its relaxed geometry (PBE-GGA, Alexandria).

- polymorph energy (0 for the lowest one) (eV per atom) = 0.187
- DOS(E_F) (states/eV per cell) = 3.5
- formation enthalpy at 0 K (eV/atom) = -0.34
- calculated density (g/cm3) = 8.86

Unit cell a=3.2369 b=3.2369 c=7.0425 alpha=90.00 beta=90.00 gamma=90.00
Closest atoms and distances in Å follow each position.
Space group P4/mmm (No. 123)
One atom of each set of equivalent atoms:
1 Sm 0.0000 0.0000 0.0000  8 Ge 3.13, 4 Sm 3.24
2 Tc 0.0000 0.0000 0.5000  8 Ge 2.68
3 Ge 0.5000 0.5000 0.3032  4 Tc 2.68, 1 Ge 2.77

=====

6.
# Pr4SmY6

Crystalline Pr4SmY6 at its relaxed geometry (PBE-GGA, Alexandria).

- polymorph energy (0 for the lowest one) (eV per atom) = 0.000
- DOS(E_F) (states/eV per cell) = 83.8
- formation enthalpy at 0 K (eV/atom) = 0.11
- calculated density (g/cm3) = 5.53

Unit cell a=5.8392 b=9.7835 c=26.2083 alpha=90.00 beta=90.00 gamma=90.00
Closest atoms and distances in Å follow each position.
Space group Cmcm (No. 63)
One atom of each set of equivalent atoms:
1 Pr 0.0000 0.0310 0.1225  6 Y 3.22-3.56
2 Pr 0.0000 0.3434 0.0447  7 Y 3.50-3.73, 2 Pr 3.68-3.86
3 Sm 0.0000 0.3153 0.7500  5 Y 3.27-3.66
4 Y 0.0000 0.0000 0.0000  8 Pr 3.22-3.56
5 Y 0.0000 0.0190 0.2500  3 Sm 3.27-3.34, 2 Pr 3.34
6 Y 0.0000 0.3102 0.6045  6 Pr 3.34-3.73
7 Y 0.0000 0.3566 0.1827  7 Y 3.53-3.92, 4 Pr 3.56-3.73, 3 Sm 3.66-3.80